Computed, not measured: a relaxed structure of CoSbN2 at the PBE-GGA level of DFT.

Properties
**V**: 214.5 Å³ per cell
**Uncorrected formation energy**: 0.60 eV per atom
**Final energy**: -101.93 eV/cell
**Size of the total moment**: 0.0 μB per formula unit

a b c (Å): 4.8351 4.8351 9.1773
angles (deg): 90.00 90.00 90.00
With the nearest neighbours (Å) after each atom.
Atoms (fractional coordinates):
1 Co 0.0000 0.0000 0.0000  4 N 1.88
2 Co 0.0000 0.5000 0.2500  4 N 1.88
3 Co 0.5000 0.0000 0.7500  4 N 1.88
4 Co 0.5000 0.5000 0.5000  4 N 1.88
5 Sb 0.0000 0.0000 0.5000  4 N 2.28
6 Sb 0.0000 0.5000 0.7500  4 N 2.28
7 Sb 0.5000 0.0000 0.2500  4 N 2.28
8 Sb 0.5000 0.5000 0.0000  4 N 2.28
9 N 0.1786 0.2500 0.1250  2 Co 1.88
10 N 0.2500 0.6786 0.3750  2 Co 1.88
11 N 0.2500 0.8214 0.8750  2 Co 1.88
12 N 0.3214 0.2500 0.6250  2 Co 1.88
13 N 0.6786 0.7500 0.6250  2 Co 1.88
14 N 0.7500 0.1786 0.8750  2 Co 1.88
15 N 0.7500 0.3214 0.3750  2 Co 1.88
16 N 0.8214 0.7500 0.1250  2 Co 1.88